Record 1
HfSiIr2 | meta-GGA SCAN | PBEsol geometry

Symmetry = I-42d
Raw formation energy = -0.149 eV per atom

Lattice parameters (Å, degrees): 5.506 5.506 6.899 113.52 113.52 90.00
Atoms (fractional coordinates):
Si 0.750 0.250 0.500
Si 0.500 0.500 0.000
Ir 0.420 0.875 0.250
Ir 0.830 0.375 0.250
Ir 0.125 0.170 0.750
Ir 0.625 0.580 0.750
Hf 0.250 0.750 0.500
Hf 0.000 0.000 0.000

=====

Record 2
MgCr2In | meta-GGA SCAN | PBEsol geometry

Energy of formation from the pure elements = 0.04 eV/atom
Symmetry = P4mm

Lattice parameters (Å, degrees): 3.061 3.061 6.875 90.00 89.99 90.00
Each line ends with the local moment (μB).
Atoms (fractional coordinates):
Cr 0.000 0.000 0.048  2.77
Cr 0.500 0.500 0.201  -2.67
In 0.000 0.000 0.467  0.08
Mg 0.500 0.500 0.784  -0.01

=====

Record 3
CrReW2 | meta-GGA SCAN | PBEsol geometry

Energy of formation from the pure elements = 0.04 eV/atom
Symmetry = Pmmm

Lattice parameters (Å, degrees): 3.075 4.317 4.344 90.00 90.00 90.00
Atoms (fractional coordinates):
Re 0.000 0.500 0.500
W 0.000 0.000 0.000
W 0.500 0.000 0.500
Cr 0.500 0.500 0.000

=====

| no. | mass density (g/cm3) |
| --- | --- |
| 1 | 11.37 |
| 2 | 6.27 |
| 3 | 17.45 |